[1]
Density functional theory data (PBE) for a relaxed structure of YIn2.

The structure in POSCAR format:
```
YIn2
1.0
6.318 -1.807 0.000
6.318 1.807 0.000
-1.030 0.000 3.465
Y In
1 2
Direct
0.000 0.000 0.000
0.327 0.327 0.326
0.673 0.673 0.674
```


[2]
Density functional theory data (PBE) for a relaxed structure of YIn4.

The structure in POSCAR format:
```
YIn4
1.0
-3.531 3.531 3.531
3.531 -3.531 3.531
3.531 3.531 -3.531
Y In
1 4
Direct
0.000 0.000 0.000
0.000 0.000 0.500
0.000 0.500 0.000
0.500 0.000 0.000
0.500 0.500 0.500
```

Computed properties:
As for the relative energy among the computed polymorphs: 133.1 meV/atom.


[3]
Density functional theory data (PBE) for a relaxed structure of Y5In.

The structure in POSCAR format:
```
Y5In
1.0
2.439 -7.598 0.000
2.439 7.598 0.000
0.000 0.000 4.887
Y In
5 1
Direct
0.000 0.000 0.000
0.161 0.839 0.500
0.333 0.667 0.000
0.667 0.333 0.000
0.839 0.161 0.500
0.500 0.500 0.500
```

Computed properties:
As for the relative energy among the computed polymorphs: 0.0 meV/atom.


[4]
Density functional theory data (PBE) for a relaxed structure of YIn2.

The structure in POSCAR format:
```
YIn2
1.0
6.187 -1.794 0.000
6.187 1.794 0.000
-4.291 0.000 7.184
Y In
2 4
Direct
0.089 0.089 0.319
0.911 0.911 0.681
0.358 0.358 0.331
0.364 0.364 0.970
0.636 0.636 0.030
0.642 0.642 0.669
```


[5]
Density functional theory data (PBE) for a relaxed structure of Y5In3.

The structure in POSCAR format:
```
Y5In3
1.0
9.080 0.000 0.000
-4.540 7.864 0.000
0.000 0.000 6.585
Y In
10 6
Direct
0.000 0.237 0.250
0.000 0.763 0.750
0.237 0.000 0.250
0.237 0.237 0.750
0.333 0.667 0.000
0.333 0.667 0.500
0.667 0.333 0.000
0.667 0.333 0.500
0.763 0.000 0.750
0.763 0.763 0.250
0.000 0.402 0.750
0.000 0.598 0.250
0.402 0.000 0.750
0.402 0.402 0.250
0.598 0.000 0.250
0.598 0.598 0.750
```

Computed properties:
As for the relative energy among the computed polymorphs: 0.0 meV/atom.


[6]
Density functional theory data (PBE) for a relaxed structure of Y5In.

The structure in POSCAR format:
```
Y5In
1.0
0.000 4.555 4.555
4.555 0.000 4.555
4.555 4.555 0.000
Y In
5 1
Direct
0.000 0.000 0.000
0.123 0.626 0.626
0.626 0.123 0.626
0.626 0.626 0.123
0.626 0.626 0.626
0.250 0.250 0.250
```

Computed properties:
As for the relative energy among the computed polymorphs: 341.7 meV/atom.


[7]
Density functional theory data (PBE) for a relaxed structure of Y2In.

The structure in POSCAR format:
```
Y2In
1.0
1.847 -8.623 0.000
1.847 8.623 0.000
0.000 0.000 5.590
Y In
4 2
Direct
0.059 0.941 0.750
0.383 0.617 0.750
0.617 0.383 0.250
0.941 0.059 0.250
0.277 0.723 0.250
0.723 0.277 0.750
```


[8]
Density functional theory data (PBE) for a relaxed structure of Y2In.

The structure in POSCAR format:
```
Y2In
1.0
0.000 7.082 7.082
7.082 0.000 7.082
7.082 7.082 0.000
Y In
16 8
Direct
0.000 0.000 0.000
0.000 0.000 0.500
0.000 0.500 0.000
0.187 0.187 0.563
0.187 0.563 0.187
0.187 0.563 0.563
0.437 0.437 0.813
0.437 0.813 0.437
0.437 0.813 0.813
0.500 0.000 0.000
0.563 0.187 0.187
0.563 0.187 0.563
0.563 0.563 0.187
0.813 0.437 0.437
0.813 0.437 0.813
0.813 0.813 0.437
0.153 0.782 0.782
0.218 0.218 0.218
0.218 0.218 0.847
0.218 0.847 0.218
0.782 0.153 0.782
0.782 0.782 0.153
0.782 0.782 0.782
0.847 0.218 0.218
```


The records above give, respectively, energy of formation values of -0.28 0.17 -0.17 -0.34 -0.42 0.18 -0.19 -0.34 eV/atom.
The records above give, respectively, ρ values of 6.7 5.2 5.1 6.6 5.6 4.9 5.5 5.5 g/cm³.